Entry 1:
Compound: Y2InMo
Source: the Alexandria database
Functional: PBE
Structure: optimized geometry

Computed properties:
Space group = R3m (160)
Calculated formation energy = 0.34 eV per atom
E_tot = -6.28 eV/atom
Size of the total moment = 0.84 μB/f.u.

abc: 10.356 10.356 10.356
angles: 18.84 18.84 18.84
Positions (direct):
Y 0.000 0.000 0.000
Y 0.230 0.230 0.230
In 0.477 0.477 0.477
Mo 0.740 0.740 0.740

Entry 2:
Compound: Y2InMo
Source: the Alexandria database
Functional: PBE
Structure: optimized geometry

Computed properties:
Space group = C2/m (12)
Calculated formation energy = 0.28 eV per atom
E_tot = -6.35 eV/atom
Size of the total moment = 0.00 μB/f.u.

abc: 5.332 5.332 5.923
angles: 100.62 100.62 36.03
Positions (direct):
Y 0.242 0.242 0.240
Y 0.758 0.758 0.760
In 0.000 0.000 0.500
Mo 0.500 0.500 0.000

Entry 3:
Compound: YInMo2
Source: the Alexandria database
Functional: PBE
Structure: optimized geometry

Computed properties:
Space group = Cmm2 (35)
Calculated formation energy = 0.24 eV per atom
E_tot = -7.47 eV/atom
Size of the total moment = 0.00 μB/f.u.

abc: 3.036 3.036 9.513
angles: 90.00 90.00 111.68
Positions (direct):
Y 0.000 0.000 0.000
In 0.500 0.500 0.706
Mo 0.000 0.000 0.455
Mo 0.500 0.500 0.256

Entry 4:
Compound: YInMo2
Source: the Alexandria database
Functional: PBE
Structure: optimized geometry

Computed properties:
Space group = P4/mmm (123)
Calculated formation energy = 0.31 eV per atom
E_tot = -7.41 eV/atom
Size of the total moment = 0.00 μB/f.u.

abc: 3.643 3.643 6.412
angles: 90.00 90.00 90.00
Positions (direct):
Y 0.000 0.000 0.000
In 0.000 0.000 0.500
Mo 0.500 0.500 0.314
Mo 0.500 0.500 0.686

Entry 5:
Compound: YInMo
Source: the Alexandria database
Functional: PBE
Structure: optimized geometry

Computed properties:
Relative energy among the computed polymorphs = 107 meV per atom
Space group = P3m1 (156)
Calculated formation energy = 0.28 eV per atom
E_tot = -6.40 eV/atom
Size of the total moment = 0.00 μB/f.u.

abc: 4.960 4.960 3.158
angles: 90.00 90.00 120.00
Positions (direct):
Y 0.000 0.000 0.000
In 0.667 0.333 0.497
Mo 0.333 0.667 0.503

Entry 6:
Compound: YInMo2
Source: the Alexandria database
Functional: PBE
Structure: optimized geometry

Computed properties:
Space group = I-42d (122)
Calculated formation energy = 0.91 eV per atom
E_tot = -6.80 eV/atom
Size of the total moment = 0.00 μB/f.u.

abc: 6.228 6.228 6.228
angles: 101.86 101.86 126.09
Positions (direct):
Y 0.000 0.000 0.000
Y 0.750 0.250 0.500
In 0.250 0.750 0.500
In 0.500 0.500 0.000
Mo 0.151 0.625 0.026
Mo 0.375 0.401 0.526
Mo 0.599 0.125 0.974
Mo 0.875 0.849 0.474

Entry 7:
Compound: YInMo2
Source: the Alexandria database
Functional: PBE
Structure: optimized geometry

Computed properties:
Space group = C2/m (12)
Calculated formation energy = 0.43 eV per atom
E_tot = -7.29 eV/atom
Size of the total moment = 0.00 μB/f.u.

abc: 5.686 5.686 2.904
angles: 100.23 100.23 117.27
Positions (direct):
Y 0.000 0.000 0.000
In 0.500 0.500 0.000
Mo 0.000 0.500 0.500
Mo 0.500 0.000 0.500

Entry 8:
Compound: YInMo
Source: the Alexandria database
Functional: PBE
Structure: optimized geometry

Computed properties:
Relative energy among the computed polymorphs = 66 meV per atom
Space group = I4mm (107)
Calculated formation energy = 0.24 eV per atom
E_tot = -6.44 eV/atom
Size of the total moment = 0.12 μB/f.u.

abc: 7.223 7.223 7.223
angles: 155.29 155.29 35.23
Positions (direct):
Y 0.000 0.000 0.000
In 0.688 0.688 0.000
Mo 0.336 0.336 0.000

Entry 9:
Compound: YInMo
Source: the Alexandria database
Functional: PBE
Structure: optimized geometry

Computed properties:
Relative energy among the computed polymorphs = 0 meV per atom
Space group = Imm2 (44)
Calculated formation energy = 0.17 eV per atom
E_tot = -6.50 eV/atom
Size of the total moment = 0.00 μB/f.u.

abc: 5.677 5.677 5.677
angles: 144.92 140.52 53.83
Positions (direct):
Y 0.000 0.000 0.000
In 0.695 0.695 0.000
Mo 0.328 0.328 0.000

Entry 10:
Compound: YInMo2
Source: the Alexandria database
Functional: PBE
Structure: optimized geometry

Computed properties:
Space group = P4/mmm (123)
Calculated formation energy = 0.34 eV per atom
E_tot = -7.37 eV/atom
Size of the total moment = 0.00 μB/f.u.

abc: 4.132 4.132 4.638
angles: 90.00 90.00 90.00
Positions (direct):
Y 0.000 0.000 0.000
In 0.500 0.500 0.000
Mo 0.000 0.500 0.500
Mo 0.500 0.000 0.500

Entry 11:
Compound: YInMo2
Source: the Alexandria database
Functional: PBE
Structure: optimized geometry

Computed properties:
Space group = P4/mmm (123)
Calculated formation energy = 0.53 eV per atom
E_tot = -7.19 eV/atom
Size of the total moment = 0.00 μB/f.u.

abc: 2.904 2.904 9.425
angles: 90.00 90.00 90.00
Positions (direct):
Y 0.000 0.000 0.000
In 0.000 0.000 0.500
Mo 0.500 0.500 0.267
Mo 0.500 0.500 0.733

Entry 12:
Compound: Y2InMo
Source: the Alexandria database
Functional: PBE
Structure: optimized geometry

Computed properties:
Space group = Imm2 (44)
Calculated formation energy = 0.11 eV per atom
E_tot = -6.52 eV/atom
Size of the total moment = 0.00 μB/f.u.

abc: 5.812 5.812 5.812
angles: 138.70 131.51 65.54
Positions (direct):
Y 0.000 0.000 0.000
Y 0.736 0.236 0.500
In 0.259 0.759 0.500
Mo 0.473 0.473 0.000

Entry 13:
Compound: YInMo2
Source: the Alexandria database
Functional: PBE
Structure: optimized geometry

Computed properties:
Space group = Pm (6)
Calculated formation energy = 0.20 eV per atom
E_tot = -7.51 eV/atom
Size of the total moment = 0.00 μB/f.u.

abc: 3.086 4.346 6.186
angles: 90.00 100.78 90.00
Positions (direct):
Y 0.000 0.000 0.000
In 0.613 0.500 0.296
Mo 0.157 0.000 0.542
Mo 0.457 0.500 0.735

Entry 14:
Compound: YInMo2
Source: the Alexandria database
Functional: PBE
Structure: optimized geometry

Computed properties:
Space group = R-3m (166)
Calculated formation energy = 0.65 eV per atom
E_tot = -7.07 eV/atom
Size of the total moment = 0.00 μB/f.u.

abc: 10.005 10.005 10.005
angles: 17.67 17.67 17.67
Positions (direct):
Y 0.000 0.000 0.000
In 0.500 0.500 0.500
Mo 0.246 0.246 0.246
Mo 0.754 0.754 0.754

Entry 15:
Compound: Y2InMo
Source: the Alexandria database
Functional: PBE
Structure: optimized geometry

Computed properties:
Space group = P4/mmm (123)
Calculated formation energy = 0.07 eV per atom
E_tot = -6.55 eV/atom
Size of the total moment = 0.87 μB/f.u.

abc: 4.801 4.801 4.144
angles: 90.00 90.00 90.00
Positions (direct):
Y 0.000 0.500 0.000
Y 0.500 0.000 0.000
In 0.000 0.000 0.500
Mo 0.500 0.500 0.500

Entry 16:
Compound: YInMo2
Source: the Alexandria database
Functional: PBE
Structure: optimized geometry

Computed properties:
Space group = Immm (71)
Calculated formation energy = 0.41 eV per atom
E_tot = -7.31 eV/atom
Size of the total moment = 0.00 μB/f.u.

abc: 5.586 5.586 5.586
angles: 141.29 131.93 63.35
Positions (direct):
Y 0.000 0.000 0.000
In 0.500 0.500 0.000
Mo 0.251 0.751 0.500
Mo 0.749 0.249 0.500

Entry 17:
Compound: YInMo
Source: the Alexandria database
Functional: PBE
Structure: optimized geometry

Computed properties:
Relative energy among the computed polymorphs = 468 meV per atom
Space group = F-43m (216)
Calculated formation energy = 0.64 eV per atom
E_tot = -6.04 eV/atom
Size of the total moment = 2.10 μB/f.u.

abc: 4.819 4.819 4.819
angles: 60.00 60.00 60.00
Positions (direct):
Y 0.000 0.000 0.000
In 0.500 0.500 0.500
Mo 0.250 0.250 0.250

Entry 18:
Compound: Y2InMo
Source: the Alexandria database
Functional: PBE
Structure: optimized geometry

Computed properties:
Space group = I-42d (122)
Calculated formation energy = 0.68 eV per atom
E_tot = -5.94 eV/atom
Size of the total moment = 0.00 μB/f.u.

abc: 11.054 11.054 11.054
angles: 157.27 157.27 32.36
Positions (direct):
Y 0.111 0.625 0.986
Y 0.375 0.361 0.486
Y 0.639 0.125 0.014
Y 0.875 0.889 0.514
In 0.250 0.750 0.500
In 0.500 0.500 0.000
Mo 0.000 0.000 0.000
Mo 0.750 0.250 0.500

Entry 19:
Compound: YInMo2
Source: the Alexandria database
Functional: PBE
Structure: optimized geometry

Computed properties:
Space group = Cm (8)
Calculated formation energy = 0.31 eV per atom
E_tot = -7.41 eV/atom
Size of the total moment = 0.00 μB/f.u.

abc: 4.505 4.505 6.559
angles: 97.14 97.14 41.65
Positions (direct):
Y 0.000 0.000 0.000
In 0.245 0.245 0.679
Mo 0.499 0.499 0.436
Mo 0.764 0.764 0.293

Entry 20:
Compound: Y2InMo
Source: the Alexandria database
Functional: PBE
Structure: optimized geometry

Computed properties:
Space group = Pmmm (47)
Calculated formation energy = 0.01 eV per atom
E_tot = -6.62 eV/atom
Size of the total moment = 0.00 μB/f.u.

abc: 3.591 3.675 7.374
angles: 90.00 90.00 90.00
Positions (direct):
Y 0.000 0.000 0.225
Y 0.000 0.000 0.775
In 0.500 0.500 0.500
Mo 0.500 0.500 0.000

Entry 21:
Compound: YInMo2
Source: the Alexandria database
Functional: PBE
Structure: optimized geometry

Computed properties:
Space group = F-43m (216)
Calculated formation energy = 0.23 eV per atom
E_tot = -7.49 eV/atom
Size of the total moment = 0.00 μB/f.u.

abc: 4.807 4.807 4.807
angles: 60.00 60.00 60.00
Positions (direct):
Y 0.000 0.000 0.000
In 0.750 0.750 0.750
Mo 0.250 0.250 0.250
Mo 0.500 0.500 0.500

Entry 22:
Compound: YIn4Mo
Source: the Alexandria database
Functional: PBE
Structure: optimized geometry

Computed properties:
Space group = F-43m (216)
Calculated formation energy = 0.28 eV per atom
E_tot = -4.43 eV/atom
Size of the total moment = 0.02 μB/f.u.

abc: 5.771 5.771 5.771
angles: 60.00 60.00 60.00
Positions (direct):
Y 0.000 0.000 0.000
In 0.126 0.625 0.625
In 0.625 0.126 0.625
In 0.625 0.625 0.126
In 0.625 0.625 0.625
Mo 0.250 0.250 0.250

Entry 23:
Compound: YInMo2
Source: the Alexandria database
Functional: PBE
Structure: optimized geometry

Computed properties:
Space group = Cmmm (65)
Calculated formation energy = 0.51 eV per atom
E_tot = -7.20 eV/atom
Size of the total moment = 0.00 μB/f.u.

abc: 2.926 2.926 9.445
angles: 90.00 90.00 101.11
Positions (direct):
Y 0.000 0.000 0.000
In 0.000 0.000 0.500
Mo 0.500 0.500 0.264
Mo 0.500 0.500 0.736

Entry 24:
Compound: YInMo2
Source: the Alexandria database
Functional: PBE
Structure: optimized geometry

Computed properties:
Space group = R3m (160)
Calculated formation energy = 0.26 eV per atom
E_tot = -7.46 eV/atom
Size of the total moment = 0.00 μB/f.u.

abc: 9.519 9.519 9.519
angles: 19.46 19.46 19.46
Positions (direct):
Y 0.000 0.000 0.000
In 0.766 0.766 0.766
Mo 0.248 0.248 0.248
Mo 0.517 0.517 0.517

Entry 25:
Compound: YInMo2
Source: the Alexandria database
Functional: PBE
Structure: optimized geometry

Computed properties:
Space group = Imm2 (44)
Calculated formation energy = 0.17 eV per atom
E_tot = -7.54 eV/atom
Size of the total moment = 0.00 μB/f.u.

abc: 5.650 5.650 5.650
angles: 144.01 128.39 64.53
Positions (direct):
Y 0.000 0.000 0.000
In 0.282 0.782 0.500
Mo 0.549 0.549 0.000
Mo 0.738 0.238 0.500

Entry 26:
Compound: YInMo2
Source: the Alexandria database
Functional: PBE
Structure: optimized geometry

Computed properties:
Space group = P4mm (99)
Calculated formation energy = 0.01 eV per atom
E_tot = -7.70 eV/atom
Size of the total moment = 0.00 μB/f.u.

abc: 3.301 3.301 7.504
angles: 90.00 90.00 90.00
Positions (direct):
Y 0.000 0.000 0.000
In 0.500 0.500 0.316
Mo 0.000 0.000 0.560
Mo 0.500 0.500 0.734

Entry 27:
Compound: Y2InMo
Source: the Alexandria database
Functional: PBE
Structure: optimized geometry

Computed properties:
Space group = Cm (8)
Calculated formation energy = 0.12 eV per atom
E_tot = -6.50 eV/atom
Size of the total moment = 0.00 μB/f.u.

abc: 6.024 6.024 5.437
angles: 107.51 107.51 31.50
Positions (direct):
Y 0.000 0.000 0.000
Y 0.204 0.204 0.650
In 0.441 0.441 0.461
Mo 0.739 0.739 0.170

Entry 28:
Compound: Y4InMo
Source: the Alexandria database
Functional: PBE
Structure: optimized geometry

Computed properties:
Space group = F-43m (216)
Calculated formation energy = 0.68 eV per atom
E_tot = -5.89 eV/atom
Size of the total moment = 0.00 μB/f.u.

abc: 6.090 6.090 6.090
angles: 60.00 60.00 60.00
Positions (direct):
Y 0.376 0.376 0.376
Y 0.376 0.376 0.871
Y 0.376 0.871 0.376
Y 0.871 0.376 0.376
In 0.000 0.000 0.000
Mo 0.750 0.750 0.750

Entry 29:
Compound: YZrInMo2
Source: the Alexandria database
Functional: PBE
Structure: optimized geometry

Computed properties:
Space group = P4/mmm (123)
Calculated formation energy = 1.14 eV per atom
E_tot = -6.74 eV/atom
Size of the total moment = 0.00 μB/f.u.

abc: 4.847 4.847 5.435
angles: 90.00 90.00 90.00
Positions (direct):
Y 0.000 0.000 0.000
Zr 0.500 0.500 0.500
In 0.500 0.500 0.000
Mo 0.000 0.500 0.500
Mo 0.500 0.000 0.500

Entry 30:
Compound: ZnIn2Mo2
Source: the Alexandria database
Functional: PBE
Structure: optimized geometry

Computed properties:
Relative energy among the computed polymorphs = 0 meV per atom
Space group = P4/mbm (127)
Calculated formation energy = 0.33 eV per atom
E_tot = -5.36 eV/atom
Size of the total moment = 0.00 μB/f.u.

abc: 6.665 6.665 4.337
angles: 90.00 90.00 90.00
Positions (direct):
Zn 0.000 0.000 0.000
Zn 0.500 0.500 0.000
In 0.172 0.328 0.500
In 0.328 0.828 0.500
In 0.672 0.172 0.500
In 0.828 0.672 0.500
Mo 0.129 0.629 0.000
Mo 0.371 0.129 0.000
Mo 0.629 0.871 0.000
Mo 0.871 0.371 0.000